No. 1
BaZrHgBr6 | GGA-PBE | relaxed

Structure (POSCAR):
```
BaZrHgBr6
1.0
7.8879 0.0000 0.0000
-3.9439 6.8311 0.0000
0.0000 0.0000 16.7444
Ba Zr Hg Br
2 2 2 12
Direct
0.3333 0.6667 0.2500
0.6667 0.3333 0.7500
0.3333 0.6667 0.7500
0.6667 0.3333 0.2500
0.0000 0.0000 0.0000
0.0000 0.0000 0.5000
0.0560 0.3988 0.6564
0.0560 0.6572 0.8436
0.3428 0.3988 0.8436
0.3428 0.9440 0.6564
0.3988 0.0560 0.1564
0.3988 0.3428 0.3436
0.6012 0.6572 0.6564
0.6012 0.9440 0.8436
0.6572 0.0560 0.3436
0.6572 0.6012 0.1564
0.9440 0.3428 0.1564
0.9440 0.6012 0.3436
```

Output
V: 50.12 Å³/atom
VASP energy: -34.04 eV per formula unit
E_form (uncorrected): -1.47 eV per atom
Total moment: 0.00 μB/cell

=====

No. 2
BaLi2HoBr8 | GGA-PBE | relaxed

Structure (POSCAR):
```
BaLi2HoBr8
1.0
7.0156 0.0000 0.0000
-3.5078 6.0757 0.0000
0.0000 0.0000 9.1251
Ba Li Ho Br
1 2 1 8
Direct
0.0000 0.0000 0.0000
0.3333 0.6667 0.7225
0.6667 0.3333 0.2775
0.0000 0.0000 0.5000
0.0162 0.6987 0.3095
0.3013 0.3175 0.3095
0.3175 0.0162 0.6905
0.3333 0.6667 0.9976
0.6667 0.3333 0.0024
0.6825 0.9838 0.3095
0.6987 0.6825 0.6905
0.9838 0.3013 0.6905
```

Output
V: 32.41 Å³/atom
VASP energy: -42.23 eV per formula unit
E_form (uncorrected): -1.54 eV per atom
Total moment: 1.08 μB/cell

=====

No. 3
BaHoTlBr6 | GGA-PBE | relaxed

Structure (POSCAR):
```
BaHoTlBr6
1.0
7.9511 0.0000 0.0000
-3.9756 6.8859 0.0000
0.0000 0.0000 13.6767
Ba Ho Tl Br
2 2 2 12
Direct
0.3333 0.6667 0.2500
0.6667 0.3333 0.7500
0.3333 0.6667 0.7500
0.6667 0.3333 0.2500
0.0000 0.0000 0.0000
0.0000 0.0000 0.5000
0.0419 0.3821 0.6314
0.0419 0.6598 0.8686
0.3402 0.3821 0.8686
0.3402 0.9581 0.6314
0.3821 0.0419 0.1314
0.3821 0.3402 0.3686
0.6179 0.6598 0.6314
0.6179 0.9581 0.8686
0.6598 0.0419 0.3686
0.6598 0.6179 0.1314
0.9581 0.3402 0.1314
0.9581 0.6179 0.3686
```

Output
V: 41.60 Å³/atom
VASP energy: -34.70 eV per formula unit
E_form (uncorrected): -1.75 eV per atom
Total moment: 0.00 μB/cell

=====

No. 4
BaIBr | GGA-PBE | relaxed

Structure (POSCAR):
```
BaIBr
1.0
2.8482 1.6444 9.4586
-2.8482 1.6444 9.4586
0.0000 -3.2888 9.4586
Ba I Br
2 2 2
Direct
0.2435 0.2435 0.2435
0.7565 0.7565 0.7565
0.3766 0.3766 0.3766
0.6234 0.6234 0.6234
0.1272 0.1272 0.1272
0.8728 0.8728 0.8728
```

Output
V: 44.30 Å³/atom
VASP energy: -11.12 eV per formula unit
E_form (uncorrected): -1.99 eV per atom
Total moment: 0.00 μB/cell
Distance to the lowest polymorph of the same formula: 28 meV per atom